No. 1
Entry from the Alexandria database: a relaxed SrZrOs crystal (GGA-PBE).

As for the symmetry: F-43m (216). The energy above the most stable polymorph in this dataset comes out at 1.678 eV/atom. As for the formation energy: 5.32 eV per formula unit.

Lattice parameters (Å, degrees): 4.7027 4.7027 4.7027 60.00 60.00 60.00
Fractional coordinates of all 3 atoms:
Os: 0.5000 0.5000 0.5000
Sr: 0.2500 0.2500 0.2500
Zr: 0.0000 0.0000 0.0000


No. 2
Entry from the Alexandria database: a relaxed Nd2TmPa2Rh5 crystal (GGA-PBE).

As for the symmetry: P4/mbm (127). As for the formation energy: -6.60 eV per formula unit.

Lattice parameters (Å, degrees): 3.5889 10.9683 10.9683 90.00 90.00 90.00
Fractional coordinates of all 20 atoms:
Nd: 0.0000 0.6709 0.1709
Nd: 0.0000 0.3291 0.8291
Nd: 0.0000 0.1709 0.3291
Nd: 0.0000 0.8291 0.6709
Tm: 0.0000 0.0000 0.0000
Tm: 0.0000 0.5000 0.5000
Pa: 0.0000 0.1375 0.6375
Pa: 0.0000 0.8625 0.3625
Pa: 0.0000 0.6375 0.8625
Pa: 0.0000 0.3625 0.1375
Rh: 0.5000 0.1992 0.0557
Rh: 0.5000 0.8008 0.9443
Rh: 0.5000 0.0557 0.8008
Rh: 0.5000 0.6992 0.4443
Rh: 0.5000 0.9443 0.1992
Rh: 0.5000 0.3008 0.5557
Rh: 0.5000 0.5557 0.6992
Rh: 0.5000 0.4443 0.3008
Rh: 0.5000 0.5000 0.0000
Rh: 0.5000 0.0000 0.5000


No. 3
Entry from the Alexandria database: a relaxed Th3Ga5Cu6 crystal (GGA-PBE).

As for the symmetry: Immm (71). As for the formation energy: -5.50 eV per formula unit.

Lattice parameters (Å, degrees): 4.4032 8.1875 8.1875 64.12 74.40 74.40
Fractional coordinates of all 14 atoms:
Th: 0.0000 0.0000 0.0000
Th: 0.6992 0.3008 0.3008
Th: 0.3008 0.6992 0.6992
Ga: 0.6555 0.7000 0.9889
Ga: 0.3445 0.3000 0.0111
Ga: 0.6555 0.9889 0.7000
Ga: 0.3445 0.0111 0.3000
Ga: 0.0000 0.5000 0.5000
Cu: 0.5000 0.6828 0.3172
Cu: 0.5000 0.3172 0.6828
Cu: 0.8619 0.4182 0.8580
Cu: 0.1381 0.5818 0.1420
Cu: 0.8619 0.8580 0.4182
Cu: 0.1381 0.1420 0.5818


No. 4
Entry from the Alexandria database: a relaxed KNbIN2 crystal (GGA-PBE).

As for the symmetry: P4/mmm (123). The energy above the most stable polymorph in this dataset comes out at 2.694 eV/atom. The uncorrected formation energy is 2725 meV/atom.

Lattice parameters (Å, degrees): 4.3271 4.3271 5.6990 90.00 90.00 90.00
Fractional coordinates of all 5 atoms:
I: 0.0000 0.0000 0.5000
Nb: 0.5000 0.5000 0.5000
K: 0.0000 0.0000 0.0000
N: 0.0000 0.5000 0.0000
N: 0.5000 0.0000 0.0000


No. 5
Entry from the Alexandria database: a relaxed BaCrSe2S crystal (GGA-PBE).

As for the symmetry: P4/mmm (123). The uncorrected formation energy is -961 meV/atom.

Lattice parameters (Å, degrees): 5.2095 5.2095 4.4917 90.00 90.00 90.00
Fractional coordinates of all 5 atoms:
Cr: 0.0000 0.0000 0.0000
S: 0.0000 0.0000 0.5000
Ba: 0.5000 0.5000 0.5000
Se: 0.0000 0.5000 0.0000
Se: 0.5000 0.0000 0.0000


No. 6
Entry from the Alexandria database: a relaxed Mn2FeTc crystal (GGA-PBE).

As for the symmetry: P2/m (10). As for the formation energy: 0.50 eV per formula unit.

Lattice parameters (Å, degrees): 4.0703 2.5402 4.8184 80.51 90.00 90.00
Fractional coordinates of all 4 atoms:
Fe: 0.5000 0.7500 0.7500
Mn: 0.0000 0.9852 0.9895
Mn: 0.0000 0.5148 0.5105
Tc: 0.5000 0.2500 0.2500


No. 7
Entry from the Alexandria database: a relaxed TaFeCoNi crystal (GGA-PBE).

As for the symmetry: Pmmm (47). The energy above the most stable polymorph in this dataset comes out at 0.000 eV/atom. As for the formation energy: -0.90 eV per formula unit.

Lattice parameters (Å, degrees): 3.6215 3.6999 3.6867 90.00 90.00 90.00
Fractional coordinates of all 4 atoms:
Ta: 0.5000 0.5000 0.0000
Fe: 0.0000 0.0000 0.0000
Co: 0.0000 0.5000 0.5000
Ni: 0.5000 0.0000 0.5000


No. 8
Entry from the Alexandria database: a relaxed Na5Sb crystal (GGA-PBE).

As for the symmetry: Cmmm (65). The uncorrected formation energy is -202 meV/atom.

Lattice parameters (Å, degrees): 5.1089 5.0691 7.6077 109.46 90.00 90.00
Fractional coordinates of all 6 atoms:
Sb: 0.0000 0.0000 0.0000
Na: 0.5000 0.8506 0.7011
Na: 0.0000 0.6485 0.2970
Na: 0.5000 0.5000 0.0000
Na: 0.0000 0.3515 0.7030
Na: 0.5000 0.1494 0.2989


no.,magnetic moment (μB/cell)
1,0.00
2,0.00
3,0.00
4,0.00
5,2.17
6,5.30
7,1.79
8,0.00